1.
DFT (PBE) results for Tb9Ho4Tl11 after structural relaxation. Values from VASP.

- Size of the total moment: 0.0 Bohr magnetons per cell
- Mass density: 10.78 g/cm³
- Total DFT energy (no corrections): -3.855 eV/atom
- Formation energy from the elements: -0.271 eV/atom

Geometry as Quantum ESPRESSO input:
```
&SYSTEM
  ibrav = 0, nat = 24, ntyp = 3
/
ATOMIC_SPECIES
Tb 158.93 Tb.upf
Ho 164.93 Ho.upf
Tl 204.38 Tl.upf
CELL_PARAMETERS angstrom
-1.9750 -2.9896 0.2226
11.2308 -7.0748 4.6267
-6.9733 5.4207 10.9352
ATOMIC_POSITIONS crystal
Tb 0.5000 0.6145 0.1574
Tb 0.5000 0.3855 0.8426
Tb 0.5000 0.1574 0.6145
Tb 0.5000 0.8426 0.3855
Tb 0.5000 0.7961 0.9817
Tb 0.5000 0.2039 0.0183
Tb 0.5000 0.9817 0.7961
Tb 0.5000 0.0183 0.2039
Tb 0.5000 0.5000 0.5000
Ho 0.5000 0.5839 0.7472
Ho 0.5000 0.4161 0.2528
Ho 0.5000 0.7472 0.5839
Ho 0.5000 0.2528 0.4161
Tl 0.0000 0.5893 0.9479
Tl 0.0000 0.4107 0.0521
Tl 0.0000 0.9479 0.5893
Tl 0.0000 0.0521 0.4107
Tl 0.0000 0.6232 0.3768
Tl 0.0000 0.3768 0.6232
Tl 0.0000 0.8146 0.1854
Tl 0.0000 0.1854 0.8146
Tl 0.0000 0.0000 0.0000
Tl 0.0000 0.7839 0.7839
Tl 0.0000 0.2161 0.2161
```

2.
DFT (PBE) results for Tb6HoTl3 after structural relaxation. Values from VASP.

- Size of the total moment: 0.0 Bohr magnetons per cell
- Mass density: 9.67 g/cm³
- Total DFT energy (no corrections): -4.138 eV/atom
- Formation energy from the elements: -0.192 eV/atom

Geometry as Quantum ESPRESSO input:
```
&SYSTEM
  ibrav = 0, nat = 20, ntyp = 3
/
ATOMIC_SPECIES
Tb 158.93 Tb.upf
Ho 164.93 Ho.upf
Tl 204.38 Tl.upf
CELL_PARAMETERS angstrom
-1.4605 4.9729 -0.4182
-8.4277 -2.8975 -5.0213
-3.6595 -0.1663 10.8022
ATOMIC_POSITIONS crystal
Tb 0.2500 0.4406 0.0926
Tb 0.7500 0.5594 0.9074
Tb 0.2500 0.1265 0.2132
Tb 0.7500 0.8735 0.7868
Tb 0.2500 0.6478 0.6822
Tb 0.7500 0.3522 0.3178
Tb 0.2500 0.2685 0.5133
Tb 0.7500 0.7315 0.4867
Tb 0.2500 0.8118 0.2835
Tb 0.7500 0.1882 0.7165
Tb 0.2500 0.0987 0.9019
Tb 0.7500 0.9013 0.0981
Ho 0.2500 0.9574 0.5962
Ho 0.7500 0.0426 0.4038
Tl 0.2500 0.5363 0.3884
Tl 0.7500 0.4637 0.6116
Tl 0.2500 0.3782 0.8054
Tl 0.7500 0.6218 0.1946
Tl 0.2500 0.7766 0.9615
Tl 0.7500 0.2234 0.0385
```

3.
DFT (PBE) results for Tb3Ho4Tl2 after structural relaxation. Values from VASP.

- Size of the total moment: 0.0 Bohr magnetons per cell
- Mass density: 9.57 g/cm³
- Total DFT energy (no corrections): -4.262 eV/atom
- Formation energy from the elements: -0.158 eV/atom

Geometry as Quantum ESPRESSO input:
```
&SYSTEM
  ibrav = 0, nat = 9, ntyp = 3
/
ATOMIC_SPECIES
Tb 158.93 Tb.upf
Ho 164.93 Ho.upf
Tl 204.38 Tl.upf
CELL_PARAMETERS angstrom
5.3697 0.0000 0.0000
-2.6848 5.9363 -1.0910
0.0000 -4.3790 9.2124
ATOMIC_POSITIONS crystal
Tb 0.6450 0.2900 0.6794
Tb 0.0000 0.0000 0.0000
Tb 0.3550 0.7100 0.3206
Ho 0.7319 0.4638 0.0803
Ho 0.2681 0.5362 0.9197
Ho 0.9023 0.8046 0.5724
Ho 0.0977 0.1954 0.4276
Tl 0.5882 0.1763 0.2558
Tl 0.4118 0.8237 0.7442
```

4.
DFT (PBE) results for Tb5HoTl4 after structural relaxation. Values from VASP.

- Size of the total moment: 0.1 Bohr magnetons per cell
- Mass density: 10.31 g/cm³
- Total DFT energy (no corrections): -3.999 eV/atom
- Formation energy from the elements: -0.280 eV/atom

Geometry as Quantum ESPRESSO input:
```
&SYSTEM
  ibrav = 0, nat = 10, ntyp = 3
/
ATOMIC_SPECIES
Tb 158.93 Tb.upf
Ho 164.93 Ho.upf
Tl 204.38 Tl.upf
CELL_PARAMETERS angstrom
-0.1887 -3.3467 1.4068
3.6107 -0.0265 0.4214
-2.2498 8.4527 19.8075
ATOMIC_POSITIONS crystal
Tb 0.5000 0.5000 0.1130
Tb 0.5000 0.5000 0.3058
Tb 0.5000 0.5000 0.5000
Tb 0.5000 0.5000 0.6942
Tb 0.5000 0.5000 0.8870
Ho 0.0000 0.0000 0.0000
Tl 0.0000 0.0000 0.2094
Tl 0.0000 0.0000 0.4032
Tl 0.0000 0.0000 0.5968
Tl 0.0000 0.0000 0.7906
```

5.
DFT (PBE) results for Tb5Ho4Tl4 after structural relaxation. Values from VASP.

- Size of the total moment: 0.0 Bohr magnetons per cell
- Mass density: 9.87 g/cm³
- Total DFT energy (no corrections): -4.170 eV/atom
- Formation energy from the elements: -0.253 eV/atom

Geometry as Quantum ESPRESSO input:
```
&SYSTEM
  ibrav = 0, nat = 13, ntyp = 3
/
ATOMIC_SPECIES
Tb 158.93 Tb.upf
Ho 164.93 Ho.upf
Tl 204.38 Tl.upf
CELL_PARAMETERS angstrom
-2.6662 -3.8518 -1.9403
5.8056 -6.8676 -0.9693
-3.2247 -4.6572 7.0512
ATOMIC_POSITIONS crystal
Tb 0.6876 0.9134 0.7114
Tb 0.3124 0.0866 0.2886
Tb 0.0000 0.0000 0.0000
Tb 0.6010 0.7114 0.0866
Tb 0.3990 0.2886 0.9134
Ho 0.9045 0.4909 0.7001
Ho 0.6046 0.2999 0.4909
Ho 0.0955 0.5091 0.2999
Ho 0.3954 0.7001 0.5091
Tl 0.7647 0.3388 0.1319
Tl 0.2353 0.6612 0.8681
Tl 0.8966 0.8681 0.3388
Tl 0.1034 0.1319 0.6612
```

6.
DFT (PBE) results for TbHoTmTl after structural relaxation. Values from VASP.

- Size of the total moment: 1.3 Bohr magnetons per cell
- Mass density: 10.15 g/cm³
- Total DFT energy (no corrections): -4.044 eV/atom
- Formation energy from the elements: -0.033 eV/atom
- E above lowest polymorph: 0.1402 eV/atom

Geometry as Quantum ESPRESSO input:
```
&SYSTEM
  ibrav = 0, nat = 4, ntyp = 4
/
ATOMIC_SPECIES
Tl 204.38 Tl.upf
Tm 168.93 Tm.upf
Tb 158.93 Tb.upf
Ho 164.93 Ho.upf
CELL_PARAMETERS angstrom
-4.1148 -2.9421 2.0090
0.4921 -2.4060 4.8572
-2.8457 1.8506 4.2545
ATOMIC_POSITIONS crystal
Tl 0.5000 0.5000 0.5000
Tm 0.0000 0.0000 0.0000
Tb 0.7500 0.7500 0.7500
Ho 0.2500 0.2500 0.2500
```

7.
DFT (PBE) results for Tb2Ho6Tm3Tl after structural relaxation. Values from VASP.

- Size of the total moment: 0.0 Bohr magnetons per cell
- Mass density: 9.28 g/cm³
- Total DFT energy (no corrections): -4.392 eV/atom
- Formation energy from the elements: -0.016 eV/atom

Geometry as Quantum ESPRESSO input:
```
&SYSTEM
  ibrav = 0, nat = 12, ntyp = 4
/
ATOMIC_SPECIES
Tb 158.93 Tb.upf
Ho 164.93 Ho.upf
Tm 168.93 Tm.upf
Tl 204.38 Tl.upf
CELL_PARAMETERS angstrom
6.0458 -0.0029 0.0037
-3.0240 5.2352 0.0037
-1.0202 -1.7665 11.4072
ATOMIC_POSITIONS crystal
Tb 0.3339 0.6661 0.0000
Tb 0.6661 0.3339 0.0000
Ho 0.9171 0.5873 0.7501
Ho 0.7533 0.7533 0.2511
Ho 0.0829 0.4127 0.2499
Ho 0.5873 0.9171 0.7501
Ho 0.2467 0.2467 0.7489
Ho 0.4127 0.0829 0.2499
Tm 0.1666 0.8334 0.5000
Tm 0.8334 0.1666 0.5000
Tm 0.5000 0.5000 0.5000
Tl 0.0000 0.0000 0.0000
```

8.
DFT (PBE) results for Tb3Ho6Tm2Tl after structural relaxation. Values from VASP.

- Size of the total moment: 0.0 Bohr magnetons per cell
- Mass density: 9.17 g/cm³
- Total DFT energy (no corrections): -4.397 eV/atom
- Formation energy from the elements: -0.008 eV/atom

Geometry as Quantum ESPRESSO input:
```
&SYSTEM
  ibrav = 0, nat = 12, ntyp = 4
/
ATOMIC_SPECIES
Tb 158.93 Tb.upf
Ho 164.93 Ho.upf
Tm 168.93 Tm.upf
Tl 204.38 Tl.upf
CELL_PARAMETERS angstrom
-4.7210 -2.4873 -2.9128
4.8992 -3.3620 1.2857
-4.6779 -0.9397 10.5229
ATOMIC_POSITIONS crystal
Tb 0.1668 0.8332 0.5000
Tb 0.8332 0.1668 0.5000
Tb 0.5000 0.5000 0.5000
Ho 0.9192 0.5892 0.7543
Ho 0.7507 0.7507 0.2475
Ho 0.0808 0.4108 0.2457
Ho 0.5892 0.9192 0.7543
Ho 0.2493 0.2493 0.7525
Ho 0.4108 0.0808 0.2457
Tm 0.3342 0.6658 0.0000
Tm 0.6658 0.3342 0.0000
Tl 0.0000 0.0000 0.0000
```

9.
DFT (PBE) results for Tb6Ho2Tm3Tl after structural relaxation. Values from VASP.

- Size of the total moment: 0.0 Bohr magnetons per cell
- Mass density: 9.06 g/cm³
- Total DFT energy (no corrections): -4.406 eV/atom
- Formation energy from the elements: -0.013 eV/atom

Geometry as Quantum ESPRESSO input:
```
&SYSTEM
  ibrav = 0, nat = 12, ntyp = 4
/
ATOMIC_SPECIES
Tb 158.93 Tb.upf
Ho 164.93 Ho.upf
Tm 168.93 Tm.upf
Tl 204.38 Tl.upf
CELL_PARAMETERS angstrom
6.0810 -0.0041 0.0042
-3.0425 5.2651 0.0042
-1.0286 -1.7811 11.4135
ATOMIC_POSITIONS crystal
Tb 0.9173 0.5874 0.7507
Tb 0.7530 0.7530 0.2508
Tb 0.0827 0.4126 0.2493
Tb 0.5874 0.9173 0.7507
Tb 0.2470 0.2470 0.7492
Tb 0.4126 0.0827 0.2493
Ho 0.3341 0.6659 0.0000
Ho 0.6659 0.3341 0.0000
Tm 0.1670 0.8330 0.5000
Tm 0.8330 0.1670 0.5000
Tm 0.5000 0.5000 0.5000
Tl 0.0000 0.0000 0.0000
```

10.
DFT (PBE) results for TbHoTmTl after structural relaxation. Values from VASP.

- Size of the total moment: 0.7 Bohr magnetons per cell
- Mass density: 10.28 g/cm³
- Total DFT energy (no corrections): -4.185 eV/atom
- Formation energy from the elements: -0.173 eV/atom
- E above lowest polymorph: 0.0000 eV/atom

Geometry as Quantum ESPRESSO input:
```
&SYSTEM
  ibrav = 0, nat = 4, ntyp = 4
/
ATOMIC_SPECIES
Tb 158.93 Tb.upf
Ho 164.93 Ho.upf
Tm 168.93 Tm.upf
Tl 204.38 Tl.upf
CELL_PARAMETERS angstrom
4.8417 0.0000 0.0000
0.0000 4.8303 0.0000
0.0000 0.0000 4.8175
ATOMIC_POSITIONS crystal
Tb 0.5000 0.5000 0.0000
Ho 0.5000 0.0000 0.5000
Tm 0.0000 0.5000 0.5000
Tl 0.0000 0.0000 0.0000
```